Entry 1:
{
  "formula": "Y2VSi",
  "functional": "PBE-GGA",
  "state": "relaxed",
  "total_energy_ev_per_atom": -6.93,
  "space_group": "Fm-3m",
  "e_form_raw_ev_per_atom": -0.058,
  "e_above_lowest_polymorph_mev_per_atom": 0,
  "cell": [[0.000, 3.529, 3.529], [3.529, 0.000, 3.529], [3.529, 3.529, 0.000]],
  "species": ["Y", "Y", "Si", "V"],
  "frac_coords": [[0.250, 0.250, 0.250], [0.750, 0.750, 0.750], [0.000, 0.000, 0.000], [0.500, 0.500, 0.500]]
}

---

Entry 2:
{
  "formula": "MgNi2Pb",
  "functional": "PBE-GGA",
  "state": "relaxed",
  "total_energy_ev_per_atom": -4.21,
  "space_group": "Amm2",
  "formation_energy_ev_per_atom": 0.011,
  "cell": [[-1.482, -0.074, -3.698], [-1.454, -3.136, 0.645], [-4.758, 0.621, 1.894]],
  "species": ["Mg", "Ni", "Ni", "Pb"],
  "frac_coords": [[0.500, 0.769, 0.838], [0.000, 0.199, 0.977], [0.500, 0.059, 0.257], [0.000, 0.473, 0.429]]
}

---

Entry 3:
{
  "formula": "SmY5S6",
  "functional": "PBE-GGA",
  "state": "relaxed",
  "total_energy_ev_per_atom": -7.15,
  "space_group": "C2/m",
  "e_form_raw_ev_per_atom": -2.004,
  "cell": [[6.725, 0.173, 1.027], [1.662, 5.707, 3.328], [0.116, 0.054, 6.822]],
  "species": ["Y", "Y", "Y", "Y", "Y", "S", "S", "S", "S", "S", "S", "Sm"],
  "frac_coords": [[0.500, 0.164, 0.672], [0.000, 0.334, 0.332], [0.500, 0.500, 0.000], [0.000, 0.666, 0.668], [0.500, 0.836, 0.328], [0.747, 0.084, 0.339], [0.253, 0.577, 0.339], [0.252, 0.254, 0.000], [0.748, 0.746, 0.000], [0.747, 0.423, 0.661], [0.253, 0.916, 0.661], [0.000, 0.000, 0.000]]
}